VASP calculation (GGA-PBE) on a relaxed CsNbPSe6 crystal.

Cell lengths 6.4335, 6.4336, 8.5601 Å; angles 90.00, 90.00, 60.00 degrees
With the nearest neighbours (Å) after each atom.
Element x y z (fractional)
Nb  0.6666  0.6667  0.5000  6 Se 2.56
Se  0.3686  0.0148  0.6724  1 P 2.44, 1 Nb 2.56
Se  0.6166  0.3686  0.6724  1 P 2.44, 1 Nb 2.56
Se  0.0147  0.6167  0.6724  1 P 2.44, 1 Nb 2.56
Se  0.6166  0.0148  0.3275  1 P 2.44, 1 Nb 2.56
Se  0.3685  0.6167  0.3275  1 P 2.44, 1 Nb 2.56
Se  0.0147  0.3686  0.3275  1 P 2.44, 1 Nb 2.56
Cs  0.0000  0.0000  0.0000  6 Se 3.70
P  0.3333  0.3333  0.5000  6 Se 2.44

## Properties
Formation energy without anion corrections, eV per atom: -0.367